Material: LiMn2VCd
Method: DFT, PBE
State: optimized geometry

Values from the calculation:
**Raw total energy**: -5.28 eV per atom
**ρ**: 5.08 g cm⁻³
**Space group**: No. 123
**DOS at the Fermi energy**: 2.421 states/eV/cell
**Energy of formation from the pure elements**: 776 meV per atom

POSCAR file:
```
LiMn2VCd
1.0
4.3732 0.0000 0.0000
0.0000 4.3732 0.0000
0.0000 0.0000 4.7873
Li Mn V Cd
1 2 1 1
direct
0.0000 0.0000 0.0000
0.0000 0.5000 0.5000
0.5000 0.0000 0.5000
0.0000 0.0000 0.5000
0.5000 0.5000 0.0000
```